Record 1
## Li2Ag2Mo (PBE)

Data for a relaxed structure of Li2Ag2Mo.

Lattice parameters (Å, degrees): 4.573 4.573 5.099 63.36 63.36 90.00
Sites, in units of the cell vectors:
Ag 0.250 0.750 0.500
Ag 0.750 0.250 0.500
Li 0.367 0.367 0.267
Li 0.633 0.633 0.733
Mo 0.000 0.000 0.000

Results
SG: No. 139
ΔE to the lowest computed polymorph: 352 meV/atom

---

Record 2
## Dy2Al2CdNi5 (PBE)

Data for a relaxed structure of Dy2Al2CdNi5.

Lattice parameters (Å, degrees): 3.537 9.581 9.581 90.00 90.00 90.00
Sites, in units of the cell vectors:
Cd 0.000 0.500 0.500
Cd 0.000 0.000 0.000
Dy 0.000 0.683 0.183
Dy 0.000 0.817 0.683
Dy 0.000 0.183 0.317
Dy 0.000 0.317 0.817
Ni 0.500 0.438 0.278
Ni 0.500 0.778 0.938
Ni 0.500 0.222 0.062
Ni 0.500 0.938 0.222
Ni 0.500 0.000 0.500
Ni 0.500 0.500 0.000
Ni 0.500 0.062 0.778
Ni 0.500 0.278 0.562
Ni 0.500 0.562 0.722
Ni 0.500 0.722 0.438
Al 0.000 0.388 0.112
Al 0.000 0.112 0.612
Al 0.000 0.612 0.888
Al 0.000 0.888 0.388

Results
SG: No. 127

---

Record 3
## SrCaSc2 (PBE)

Data for a relaxed structure of SrCaSc2.

Lattice parameters (Å, degrees): 3.794 3.789 10.289 68.48 90.00 90.00
Sites, in units of the cell vectors:
Sc 0.500 0.298 0.202
Sc 0.000 0.965 0.034
Ca 0.500 0.704 0.795
Sr 0.000 0.533 0.468

Results
SG: No. 6
ΔE to the lowest computed polymorph: 0 meV/atom

---

| no. | size of the total moment (μB per cell) | uncorrected energy (eV/atom) | energy of formation from the pure elements (eV/f.u.) |
| --- | --- | --- | --- |
| 1 | 2.3 | -3.4664 | 3.03 |
| 2 | 0.0 | -4.9691 | -3.18 |
| 3 | 0.2 | -3.9226 | 0.66 |